Computed, not measured: a geometry-optimized LaPr3Dy6Tm2 structure at the PBE level of DFT.

Fermi-level density of states (states/eV/cell): 15.8
SG: C2/m, No. 12
Energy relative to the elements (eV/f.u.): 0.3

Cell lengths 6.2298, 6.2298, 11.9003 Å; angles 94.99, 94.99, 119.99 degrees
Closest atoms and distances in Å follow each position.
Positions (direct):
La: 0.0000 0.0000 0.0000  6 Dy 3.57, 6 Tm 3.60
Pr: 0.1670 0.8330 0.5000  6 Pr 3.59-3.60, 6 Dy 3.61-3.62
Pr: 0.8330 0.1670 0.5000  6 Pr 3.59-3.60, 6 Dy 3.61-3.62
Pr: 0.5000 0.5000 0.5000  6 Pr 3.59-3.60, 6 Dy 3.61-3.62
Dy: 0.9171 0.5823 0.7528  2 Tm 3.56, 1 La 3.57, 6 Dy 3.59-3.61, 3 Pr 3.61-3.62
Dy: 0.7479 0.7479 0.2474  2 Tm 3.56, 1 La 3.57, 6 Dy 3.59-3.61, 3 Pr 3.61-3.62
Dy: 0.0829 0.4177 0.2472  2 Tm 3.56, 1 La 3.57, 6 Dy 3.59-3.61, 3 Pr 3.61-3.62
Dy: 0.5823 0.9171 0.7528  2 Tm 3.56, 1 La 3.57, 6 Dy 3.59-3.61, 3 Pr 3.61-3.62
Dy: 0.2521 0.2521 0.7526  2 Tm 3.56, 1 La 3.57, 6 Dy 3.59-3.61, 3 Pr 3.61-3.62
Dy: 0.4177 0.0829 0.2472  2 Tm 3.56, 1 La 3.57, 6 Dy 3.59-3.61, 3 Pr 3.61-3.62
Tm: 0.3332 0.6668 0.0000  6 Dy 3.56, 3 La 3.60, 3 Tm 3.60
Tm: 0.6668 0.3332 0.0000  6 Dy 3.56, 3 La 3.60, 3 Tm 3.60